(1)
Entry from Alexandria: an optimized crystal structure of NiPd12Pb3 (PBE-GGA).

It has space group P4/mmm (No. 123), with a = 4.085 Å, b = 4.085 Å, c = 16.039 Å, α = 90.00°, β = 90.00° and γ = 90.00°. Symmetry generates all atoms from Ni at (0.000, 0.000, 0.000), Pd at (0.000, 0.500, 0.112), Pd at (0.000, 0.500, 0.371), Pd at (0.500, 0.500, 0.000), Pd at (0.500, 0.500, 0.242), Pd at (0.500, 0.500, 0.500), Pb at (0.000, 0.000, 0.240) and Pb at (0.000, 0.000, 0.500).

Its density of states at the Fermi level is 17.00 states/eV per cell. The value obtained for the energy of formation from the pure elements is -179 meV per atom.

(2)
Entry from Alexandria: an optimized crystal structure of Hf3ReTe (PBE-GGA).

It has space group Pm-3m (No. 221), with a = 5.080 Å, b = 5.080 Å, c = 5.080 Å, α = 90.00°, β = 90.00° and γ = 90.00°. Symmetry generates all atoms from Hf at (0.000, 0.000, 0.500), Re at (0.500, 0.500, 0.500) and Te at (0.000, 0.000, 0.000).

Its density of states at the Fermi level is 2.89 states/eV per cell. The energy above the most stable polymorph in this dataset is 1090 meV per atom. The calculation puts the uncorrected formation energy at 1.4969 eV/atom.